# 1
Er3TmSc2Se6: relaxed, GGA-PBE.

Geometry as POSCAR:
```
Er3TmSc2Se6
1.0
-1.536 1.978 3.088
-7.041 -3.574 -1.213
4.825 -6.364 3.918
Tm Er Se Sc
1 3 6 2
Direct
0.500 0.000 0.000
0.835 0.170 0.670
0.165 0.830 0.330
0.500 0.500 0.000
0.667 0.091 0.334
0.333 0.909 0.666
0.004 0.251 0.008
0.669 0.577 0.338
0.331 0.423 0.662
0.996 0.749 0.992
0.832 0.664 0.664
0.168 0.336 0.336
```

Properties
Formation energy (no corrections) in eV per atom: -1.6510
Magnetic moment in μB per formula unit: 0.0
Symmetry: C2/m (12)

# 2
CrTe2H: relaxed, GGA-PBE.

Geometry as POSCAR:
```
CrTe2H
1.0
2.365 0.000 6.731
-1.182 2.048 6.731
-1.182 -2.048 6.731
Cr Te H
1 2 1
Direct
0.500 0.500 0.500
0.098 0.098 0.098
0.902 0.902 0.902
0.000 0.000 0.000
```

Properties
Magnetic moment in μB per formula unit: 3.0
Symmetry: R-3m (166)
Excess energy over the best structure of this formula in the dataset in eV per atom: 0.008

# 3
SmScOsPd: relaxed, GGA-PBE.

Geometry as POSCAR:
```
SmScOsPd
1.0
4.798 0.000 0.000
2.399 4.155 0.000
2.399 1.385 3.917
Pd Sm Os Sc
1 1 1 1
Direct
0.750 0.750 0.750
0.500 0.500 0.500
0.250 0.250 0.250
0.000 0.000 0.000
```

Properties
Magnetic moment in μB per formula unit: 0.0
E_form in kJ per mole of atoms: -46.40
Symmetry: F-43m (216)

# 4
UZnIn: relaxed, GGA-PBE.

Geometry as POSCAR:
```
UZnIn
1.0
3.089 0.000 0.000
0.000 5.053 0.000
-1.544 0.000 8.025
U Zn In
2 2 2
Direct
0.747 0.250 0.495
0.253 0.750 0.505
0.589 0.750 0.179
0.411 0.250 0.821
0.069 0.250 0.139
0.931 0.750 0.861
```

Properties
Magnetic moment in μB per formula unit: 1.9
E_form in kJ per mole of atoms: 10.60
Symmetry: Cmcm (63)